Below is a relaxed structure of RbBaYRu2, with properties calculated at the PBE level.

Lattice parameters (Å, degrees): 5.1494 5.1494 5.2971 90.00 90.00 90.00
With the nearest neighbours (Å) after each atom.
Fractional coordinates of all 5 atoms:
Rb1 0.0000 0.0000 0.0000  4 Ru 2.57, 2 Y 2.65
Ba1 0.5000 0.5000 0.5000  4 Y 3.64, 8 Ru 3.69
Y1 0.0000 0.0000 0.5000  2 Rb 2.65
Ru1 0.0000 0.5000 0.0000  2 Rb 2.57
Ru2 0.5000 0.0000 0.0000  2 Rb 2.57

Energy of formation from the pure elements = 182.1 kJ per mole of atoms
DOS at the Fermi energy = 6.891 states/eV per cell
Space-group type = No. 123

Below is a relaxed structure of ZrSc2PtO, with properties calculated at the PBE level.

Lattice parameters (Å, degrees): 5.2949 5.2949 4.7442 90.00 90.00 90.00
With the nearest neighbours (Å) after each atom.
Fractional coordinates of all 5 atoms:
Zr1 0.0000 0.0000 0.0000  2 Pt 2.37, 4 Sc 2.65
Sc1 0.0000 0.5000 0.0000  2 Zr 2.65
Sc2 0.5000 0.0000 0.0000  2 Zr 2.65
Pt1 0.0000 0.0000 0.5000  2 Zr 2.37
O1 0.5000 0.5000 0.5000  8 Sc 3.55, 4 Pt 3.74

Energy relative to the elements, uncorrected = 950 meV/atom
E above lowest polymorph = 2585 meV per atom
DOS at the Fermi energy = 6.489 states/eV per cell
Space-group type = No. 123

Below is a relaxed structure of Mn2ReSb, with properties calculated at the PBE level.

Lattice parameters (Å, degrees): 2.9628 3.6907 5.6197 90.00 90.00 90.00
With the nearest neighbours (Å) after each atom.
Fractional coordinates of all 4 atoms:
Mn1 0.0000 0.0000 0.0000  1 Re 2.46, 4 Mn 2.70
Mn2 0.5000 0.5000 0.2324  4 Re 2.63, 4 Mn 2.70, 2 Sb 2.76-2.86
Re1 0.0000 0.0000 0.4371  5 Mn 2.46-2.63
Sb1 0.5000 0.5000 0.7414  6 Mn 2.76-2.86, 4 Re 2.92, 2 Sb 2.96

Energy relative to the elements, uncorrected = 356 meV/atom
DOS at the Fermi energy = 3.073 states/eV per cell
Space-group type = No. 25